Below is an optimized crystal structure of MgSe2O6F, with properties calculated at the PBE level.

Calculated values
Fermi-level density of states	10.8	states/eV/cell
total moment	0.0	μB per formula unit
total energy	-5.02	eV per atom
calculated volume	15.7	Å³/atom

Unit cell a=11.7823 b=10.1367 c=5.7799 alpha=90.00 beta=114.87 gamma=90.00
Closest atoms and distances in Å follow each position.
Space group C2/c (No. 15)
One atom of each set of equivalent atoms:
Mg 0.0000 0.1456 0.2500 x4  1 F 1.84
Se 0.1857 0.3952 0.6619 x8  3 O 1.65-1.75
O 0.0652 0.2950 0.5362 x8  1 Se 1.65
O 0.1690 0.4649 0.9736 x8  1 Se 1.75
O 0.1794 0.1813 0.2549 x8  1 Se 1.65
F 0.0000 0.0363 0.7500 x4  1 Mg 1.84